Pb3W, relaxed, DFT GGA-PBE; E = -5.31 eV/atom
1.0
-1.587 2.431 7.077
1.587 -2.431 7.077
1.587 2.431 -7.077
Pb W
3 1
direct
0.000 0.000 0.000
0.315 0.815 0.500
0.685 0.185 0.500
0.500 0.500 0.000

***

SmHo2Pu3Se6, relaxed, DFT GGA-PBE; E_form (uncorrected) = -1390 kJ/mol of formula units; E = -7.68 eV/atom
1.0
2.789 -9.056 0.000
2.789 9.056 0.000
0.000 0.000 6.011
Sm Ho Pu Se
1 2 3 6
direct
0.000 0.000 0.000
0.359 0.641 0.500
0.641 0.359 0.500
0.000 0.000 0.500
0.170 0.830 0.000
0.830 0.170 0.000
0.172 0.828 0.500
0.325 0.675 0.000
0.500 0.500 0.255
0.500 0.500 0.745
0.675 0.325 0.000
0.828 0.172 0.500

***

> Look up the E of the second one.

-7.68 eV/atom

***

> Look up the E of the first one.

-5.31 eV/atom

***

> Which value of E does entry 2 give?

-7.68 eV/atom

***

Copy entry 2 word for word.
SmHo2Pu3Se6, relaxed, DFT GGA-PBE; E_form (uncorrected) = -1390 kJ/mol of formula units; E = -7.68 eV/atom
1.0
2.789 -9.056 0.000
2.789 9.056 0.000
0.000 0.000 6.011
Sm Ho Pu Se
1 2 3 6
direct
0.000 0.000 0.000
0.359 0.641 0.500
0.641 0.359 0.500
0.000 0.000 0.500
0.170 0.830 0.000
0.830 0.170 0.000
0.172 0.828 0.500
0.325 0.675 0.000
0.500 0.500 0.255
0.500 0.500 0.745
0.675 0.325 0.000
0.828 0.172 0.500